The following is a DFT calculation (PBE) of crystalline ZrGaTcPd at its relaxed geometry.

Output
E_form   -0.454 eV/atom
Mass density   9.3 g/cm3
DOS at the Fermi energy   0.2222 states/eV per atom

a = 4.5255 Å, b = 4.5255 Å, c = 4.5255 Å
α = 60.00°, β = 60.00°, γ = 60.00°
Fractional positions:
Tc1 0.5000 0.5000 0.5000
Ga1 0.2500 0.2500 0.2500
Zr1 0.7500 0.7500 0.7500
Pd1 0.0000 0.0000 0.0000

---

The following is a DFT calculation (PBE) of crystalline HoZn3Cu2 at its relaxed geometry.

Output
E_form   -0.052 eV/atom
Mass density   7.9 g/cm3
DOS at the Fermi energy   0.5681 states/eV per atom

a = 5.5093 Å, b = 5.5093 Å, c = 8.4424 Å
α = 70.96°, β = 70.96°, γ = 60.00°
Fractional positions:
Cu1 0.5000 0.5000 0.0000
Zn1 0.7449 0.2520 0.2582
Cu2 0.0000 0.5000 0.0000
Ho1 0.7998 0.7998 0.6007
Zn2 0.7480 0.2551 0.7418
Zn3 0.2551 0.2551 0.7418
Cu3 0.5000 0.0000 0.0000
Ho2 0.2002 0.2002 0.3993
Cu4 0.0000 0.0000 0.0000
Zn4 0.7449 0.7449 0.2582
Zn5 0.2520 0.7449 0.2582
Zn6 0.2551 0.7480 0.7418

---

The following is a DFT calculation (PBE) of crystalline Si3Te4 at its relaxed geometry.

Output
E above lowest polymorph   55 meV per atom
Raw formation energy   309 meV/atom
Mass density   5.4 g/cm3
DOS at the Fermi energy   0.5862 states/eV per atom

a = 11.6704 Å, b = 11.6704 Å, c = 11.6704 Å
α = 160.23°, β = 160.23°, γ = 28.11°
Fractional positions:
Si1 0.6915 0.6915 0.0000
Si2 0.0000 0.0000 0.0000
Te1 0.1863 0.1863 0.0000
Te2 0.8137 0.8137 0.0000
Te3 0.5661 0.5661 0.0000
Te4 0.4339 0.4339 0.0000
Si3 0.3085 0.3085 0.0000

---

The following is a DFT calculation (PBE) of crystalline Mn3Tc5 at its relaxed geometry.

Output
E_form   0.053 eV/atom
E above lowest polymorph   0 meV per atom
Mass density   10.0 g/cm3
DOS at the Fermi energy   0.9132 states/eV per atom

a = 4.7475 Å, b = 7.1755 Å, c = 7.1757 Å
α = 96.30°, β = 109.34°, γ = 70.66°
Each line ends with the local moment (μB).
Fractional positions:
Tc1 0.7212 0.7083 0.1517  -0.12
Tc2 0.9301 0.2917 0.1519  -0.12
Tc3 0.2212 0.8487 0.2921  -0.12
Mn1 0.2504 0.0001 0.0005  0.19
Tc4 0.2504 0.5006 0.5010  -0.18
Mn2 0.6765 0.5000 0.8505  2.38
Tc5 0.7796 0.1513 0.7087  -0.12
Mn3 0.1765 0.1499 0.5004  2.38
Tc6 0.2797 0.2917 0.8491  -0.12
Mn4 0.7505 0.9999 0.0004  0.19
Mn5 0.3243 0.5000 0.1503  2.38
Tc7 0.5707 0.1515 0.2921  -0.12
Tc8 0.4301 0.8485 0.7087  -0.12
Tc9 0.0708 0.7083 0.8489  -0.12
Tc10 0.7504 0.4994 0.4998  -0.18
Mn6 0.8243 0.8501 0.5004  2.38

---

The following is a DFT calculation (PBE) of crystalline Pm6Ir2Br3F at its relaxed geometry.

Output
Raw formation energy   -1299 meV/atom
Mass density   7.4 g/cm3
DOS at the Fermi energy   0.7568 states/eV per atom

a = 7.1539 Å, b = 7.1539 Å, c = 8.0935 Å
α = 98.15°, β = 98.15°, γ = 120.98°
Fractional positions:
Pm1 0.9332 0.5834 0.7997
Br1 0.1677 0.8323 0.5000
Pm2 0.5834 0.9332 0.7997
Ir1 0.3327 0.6673 0.0000
Pm3 0.0668 0.4166 0.2003
Pm4 0.2767 0.2767 0.8133
Br2 0.5000 0.5000 0.5000
Ir2 0.6673 0.3327 0.0000
Pm5 0.4166 0.0668 0.2003
Br3 0.8323 0.1677 0.5000
Pm6 0.7233 0.7233 0.1867
F1 0.0000 0.0000 0.0000

---

The following is a DFT calculation (PBE) of crystalline Zr2TeAu2 at its relaxed geometry.

Output
E above lowest polymorph   129 meV per atom
Raw formation energy   -334 meV/atom
Mass density   10.6 g/cm3
DOS at the Fermi energy   1.2288 states/eV per atom

a = 7.6125 Å, b = 7.6125 Å, c = 3.7984 Å
α = 90.00°, β = 90.00°, γ = 90.00°
Fractional positions:
Te1 0.0000 0.0000 0.0000
Zr1 0.1656 0.6656 0.5000
Au1 0.8710 0.6290 0.0000
Zr2 0.3344 0.1656 0.5000
Au2 0.1290 0.3710 0.0000
Zr3 0.8344 0.3344 0.5000
Te2 0.5000 0.5000 0.0000
Au3 0.6290 0.1290 0.0000
Zr4 0.6656 0.8344 0.5000
Au4 0.3710 0.8710 0.0000

---

Number 1: total magnetization 0.00 μB/f.u.. Number 2: total magnetization 0.00 μB/f.u.. Number 3: total magnetization 0.00 μB/f.u.. Number 4: total magnetization 4.41 μB/f.u.. Number 5: total magnetization 0.00 μB/f.u.. Number 6: total magnetization 0.00 μB/f.u..